Here is a crystal of ZrNiBr2 relaxed with PBEsol from Alexandria via LeMat-Bulk. Energies are from meta-GGA SCAN.

Cell lengths 3.247, 3.421, 8.156 Å; angles 90.00, 90.00, 118.33 degrees
Last column: magnetic moment on the atom in μB.
Atoms (fractional coordinates):
Br (0.000, 0.000, 0.275)  0.03
Br (0.000, 0.000, 0.725)  0.03
Ni (0.500, 0.000, 0.500)  0.90
Zr (0.500, 0.000, 0.000)  0.10

D(E_F) (states/eV per cell): 2.7
Volume (Å³ per cell): 79.7
VASP energy (eV per cell): -86.0
Calculated density (g/cm³): 6.4

---

Here is a crystal of Tl2ReCl2 relaxed with PBEsol from Alexandria via LeMat-Bulk. Energies are from meta-GGA SCAN.

Cell lengths 5.765, 5.765, 5.765 Å; angles 98.59, 115.17, 115.17 degrees
Last column: magnetic moment on the atom in μB.
Atoms (fractional coordinates):
Tl (0.500, 0.250, 0.750)  -0.01
Tl (0.500, 0.750, 0.250)  -0.01
Cl (0.000, 0.696, 0.696)  0.06
Re (0.000, 0.000, 0.000)  2.38
Cl (0.000, 0.304, 0.304)  0.06

D(E_F) (states/eV per cell): 1.2
Volume (Å³ per cell): 143.6
VASP energy (eV per cell): -230.2
Calculated density (g/cm³): 7.7

---

Here is a crystal of TaSnSeN2 relaxed with PBEsol from Alexandria via LeMat-Bulk. Energies are from meta-GGA SCAN.

Cell lengths 4.012, 4.012, 5.146 Å; angles 90.00, 90.00, 90.00 degrees
Last column: magnetic moment on the atom in μB.
Atoms (fractional coordinates):
N (0.000, 0.500, 0.000)  -0.59
N (0.500, 0.000, 0.000)  -0.59
Sn (0.000, 0.000, 0.000)  0.07
Se (0.000, 0.000, 0.500)  -0.06
Ta (0.500, 0.500, 0.500)  1.75

D(E_F) (states/eV per cell): 2.8
Volume (Å³ per cell): 82.8
VASP energy (eV per cell): -133.6
Calculated density (g/cm³): 8.2

---

Here is a crystal of FeOsN2O relaxed with PBEsol from Alexandria via LeMat-Bulk. Energies are from meta-GGA SCAN.

Cell lengths 3.611, 3.572, 3.572 Å; angles 90.00, 90.00, 90.00 degrees
Last column: magnetic moment on the atom in μB.
Atoms (fractional coordinates):
N (0.000, 0.500, 0.000)  0.17
O (0.500, 0.000, 0.000)  0.02
Os (0.500, 0.500, 0.500)  -1.66
Fe (0.000, 0.000, 0.000)  0.95
N (0.000, 0.000, 0.500)  0.17

D(E_F) (states/eV per cell): 3.3
Volume (Å³ per cell): 46.1
VASP energy (eV per cell): -108.9
Calculated density (g/cm³): 10.5

---

Here is a crystal of Tl2InMo relaxed with PBEsol from Alexandria via LeMat-Bulk. Energies are from meta-GGA SCAN.

Cell lengths 3.064, 4.710, 5.890 Å; angles 90.00, 90.00, 90.00 degrees
Atoms (fractional coordinates):
Tl (0.500, 0.500, 0.245)
In (0.000, 0.000, 0.523)
Tl (0.000, 0.000, 0.996)
Mo (0.500, 0.500, 0.736)

D(E_F) (states/eV per cell): 1.2
Volume (Å³ per cell): 85.0
Energy of formation (kJ/mol of atoms): 58.6
Calculated density (g/cm³): 12.1

---

Here is a crystal of Li2CaAs relaxed with PBEsol from Alexandria via LeMat-Bulk. Energies are from meta-GGA SCAN.

Cell lengths 4.305, 4.305, 5.688 Å; angles 67.76, 67.76, 60.00 degrees
Last column: magnetic moment on the atom in μB.
Atoms (fractional coordinates):
Li (0.236, 0.236, 0.292)  0.01
As (0.554, 0.554, 0.337)  0.02
Li (0.955, 0.955, 0.135)  0.04
Ca (0.761, 0.761, 0.717)  0.12

D(E_F) (states/eV per cell): 0.5
Volume (Å³ per cell): 82.1
Energy of formation (kJ/mol of atoms): -72.4
Calculated density (g/cm³): 2.6

---

Here is a crystal of LiMn2O4 relaxed with PBEsol from Alexandria via LeMat-Bulk. Energies are from meta-GGA SCAN.

Cell lengths 5.615, 5.615, 9.210 Å; angles 90.00, 90.00, 120.00 degrees
Last column: magnetic moment on the atom in μB.
Atoms (fractional coordinates):
Mn (0.667, 0.333, 0.515)  2.41
Li (0.000, 0.000, 0.503)  0.00
O (0.481, 0.519, 0.159)  0.04
O (0.833, 0.167, 0.401)  0.07
O (0.334, 0.167, 0.401)  0.07
O (0.667, 0.333, 0.895)  0.08
Li (0.333, 0.667, 0.602)  0.01
O (0.167, 0.334, 0.901)  0.07
Li (0.000, 0.000, 0.003)  0.00
Mn (0.830, 0.170, 0.786)  2.32
Mn (0.341, 0.170, 0.786)  2.32
Mn (0.170, 0.830, 0.286)  2.32
Li (0.667, 0.333, 0.102)  0.01
O (0.519, 0.039, 0.659)  0.04
O (0.481, 0.961, 0.159)  0.04
O (0.000, 0.000, 0.690)  0.06
O (0.333, 0.667, 0.395)  0.08
Mn (0.659, 0.830, 0.286)  2.32
O (0.039, 0.519, 0.159)  0.04
O (0.519, 0.481, 0.659)  0.04
Mn (0.333, 0.667, 0.015)  2.41
O (0.167, 0.833, 0.901)  0.07
O (0.833, 0.666, 0.401)  0.07
O (0.666, 0.833, 0.901)  0.07
Mn (0.830, 0.659, 0.786)  2.32
O (0.961, 0.481, 0.659)  0.04
O (0.000, 0.000, 0.190)  0.06
Mn (0.170, 0.341, 0.286)  2.32

D(E_F) (states/eV per cell): 7.2
Volume (Å³ per cell): 251.5
VASP energy (eV per cell): -316.8
Calculated density (g/cm³): 4.8

---

Here is a crystal of KTaIr2 relaxed with PBEsol from Alexandria via LeMat-Bulk. Energies are from meta-GGA SCAN.

Cell lengths 3.433, 3.433, 7.815 Å; angles 90.00, 90.00, 90.00 degrees
Atoms (fractional coordinates):
Ir (0.000, 0.000, 0.982)
K (0.000, 0.000, 0.467)
Ta (0.500, 0.500, 0.875)
Ir (0.500, 0.500, 0.176)

D(E_F) (states/eV per cell): 4.7
Volume (Å³ per cell): 92.1
Energy of formation (kJ/mol of atoms): 51.4
Calculated density (g/cm³): 10.9

---

Here is a crystal of KFeTc relaxed with PBEsol from Alexandria via LeMat-Bulk. Energies are from meta-GGA SCAN.

Cell lengths 2.891, 2.891, 7.087 Å; angles 101.77, 101.77, 90.00 degrees
Last column: magnetic moment on the atom in μB.
Atoms (fractional coordinates):
Fe (0.962, 0.962, 0.924)  2.10
K (0.662, 0.662, 0.325)  0.05
Tc (0.376, 0.376, 0.751)  -0.11

D(E_F) (states/eV per cell): 2.0
Volume (Å³ per cell): 56.7
Energy of formation (kJ/mol of atoms): 87.9
Calculated density (g/cm³): 5.6

---

Here is a crystal of YScOs4 relaxed with PBEsol from Alexandria via LeMat-Bulk. Energies are from meta-GGA SCAN.

Cell lengths 5.240, 5.240, 5.240 Å; angles 60.00, 60.00, 60.00 degrees
Atoms (fractional coordinates):
Os (0.375, 0.375, 0.874)
Sc (0.750, 0.750, 0.750)
Os (0.375, 0.375, 0.375)
Os (0.874, 0.375, 0.375)
Os (0.375, 0.874, 0.375)
Y (0.000, 0.000, 0.000)

D(E_F) (states/eV per cell): 5.9
Volume (Å³ per cell): 101.8
Energy of formation (kJ/mol of atoms): -40.9
Calculated density (g/cm³): 14.6

---

Here is a crystal of CaTe2Pt relaxed with PBEsol from Alexandria via LeMat-Bulk. Energies are from meta-GGA SCAN.

Cell lengths 3.987, 3.987, 9.269 Å; angles 77.58, 77.58, 60.00 degrees
Atoms (fractional coordinates):
Te (0.885, 0.885, 0.345)
Te (0.115, 0.115, 0.655)
Pt (0.500, 0.500, 0.500)
Ca (0.000, 0.000, 0.000)

D(E_F) (states/eV per cell): 2.3
Volume (Å³ per cell): 123.6
VASP energy (eV per cell): -156.2
Calculated density (g/cm³): 6.6

---

Here is a crystal of CdPCl2 relaxed with PBEsol from Alexandria via LeMat-Bulk. Energies are from meta-GGA SCAN.

Cell lengths 4.754, 4.754, 4.754 Å; angles 60.00, 60.00, 60.00 degrees
Atoms (fractional coordinates):
Cl (0.250, 0.250, 0.250)
Cd (0.500, 0.500, 0.500)
Cl (0.000, 0.000, 0.000)
P (0.750, 0.750, 0.750)

D(E_F) (states/eV per cell): 3.8
Volume (Å³ per cell): 76.0
VASP energy (eV per cell): -55.2
Calculated density (g/cm³): 4.7

---

Here is a crystal of NaMo2As2 relaxed with PBEsol from Alexandria via LeMat-Bulk. Energies are from meta-GGA SCAN.

Cell lengths 3.735, 3.735, 7.660 Å; angles 104.11, 104.11, 90.00 degrees
Atoms (fractional coordinates):
As (0.625, 0.625, 0.250)
Mo (0.250, 0.750, 0.500)
Mo (0.750, 0.250, 0.500)
As (0.375, 0.375, 0.750)
Na (0.000, 0.000, 0.000)

D(E_F) (states/eV per cell): 1.0
Volume (Å³ per cell): 100.3
Energy of formation (kJ/mol of atoms): -25.4
Calculated density (g/cm³): 6.0

---

Here is a crystal of ZrNiSI2 relaxed with PBEsol from Alexandria via LeMat-Bulk. Energies are from meta-GGA SCAN.

Cell lengths 4.729, 5.550, 5.550 Å; angles 90.00, 90.00, 90.00 degrees
Last column: magnetic moment on the atom in μB.
Atoms (fractional coordinates):
Ni (0.500, 0.000, 0.000)  0.36
S (0.500, 0.500, 0.500)  0.95
I (0.000, 0.500, 0.000)  0.07
I (0.000, 0.000, 0.500)  0.07
Zr (0.000, 0.000, 0.000)  0.14

D(E_F) (states/eV per cell): 4.1
Volume (Å³ per cell): 145.6
VASP energy (eV per cell): -126.7
Calculated density (g/cm³): 5.0

---

Here is a crystal of CuP2S2 relaxed with PBEsol from Alexandria via LeMat-Bulk. Energies are from meta-GGA SCAN.

Cell lengths 4.479, 4.381, 4.381 Å; angles 90.00, 90.00, 90.00 degrees
Atoms (fractional coordinates):
P (0.000, 0.000, 0.000)
P (0.500, 0.000, 0.000)
S (0.000, 0.500, 0.000)
S (0.000, 0.000, 0.500)
Cu (0.500, 0.500, 0.500)

D(E_F) (states/eV per cell): 3.8
Volume (Å³ per cell): 86.0
VASP energy (eV per cell): -50.7
Calculated density (g/cm³): 3.7

---

Here is a crystal of Y4CrPt relaxed with PBEsol from Alexandria via LeMat-Bulk. Energies are from meta-GGA SCAN.

Cell lengths 5.917, 5.917, 5.917 Å; angles 60.00, 60.00, 60.00 degrees
Last column: magnetic moment on the atom in μB.
Atoms (fractional coordinates):
Cr (0.750, 0.750, 0.750)  3.92
Y (0.374, 0.877, 0.374)  -0.31
Y (0.374, 0.374, 0.877)  -0.31
Y (0.374, 0.374, 0.374)  -0.31
Pt (0.000, 0.000, 0.000)  -0.10
Y (0.877, 0.374, 0.374)  -0.31

D(E_F) (states/eV per cell): 5.2
Volume (Å³ per cell): 146.5
Energy of formation (kJ/mol of atoms): 48.7
Calculated density (g/cm³): 6.8

---

Here is a crystal of BaTl2Se relaxed with PBEsol from Alexandria via LeMat-Bulk. Energies are from meta-GGA SCAN.

Cell lengths 4.404, 4.404, 7.155 Å; angles 90.00, 90.00, 90.00 degrees
Atoms (fractional coordinates):
Se (0.500, 0.500, 0.642)
Tl (0.000, 0.000, 0.065)
Ba (0.000, 0.000, 0.574)
Tl (0.500, 0.500, 0.218)

D(E_F) (states/eV per cell): 1.9
Volume (Å³ per cell): 138.8
VASP energy (eV per cell): -207.7
Calculated density (g/cm³): 7.5

---

Here is a crystal of CsMnTcS2 relaxed with PBEsol from Alexandria via LeMat-Bulk. Energies are from meta-GGA SCAN.

Cell lengths 4.611, 4.611, 5.397 Å; angles 90.00, 90.00, 90.00 degrees
Last column: magnetic moment on the atom in μB.
Atoms (fractional coordinates):
Mn (0.000, 0.000, 0.000)  3.90
S (0.500, 0.000, 0.000)  0.10
Cs (0.000, 0.000, 0.500)  0.07
S (0.000, 0.500, 0.000)  0.10
Tc (0.500, 0.500, 0.500)  3.68

D(E_F) (states/eV per cell): 3.4
Volume (Å³ per cell): 114.8
VASP energy (eV per cell): -106.5
Calculated density (g/cm³): 5.1

---

Here is a crystal of LiScCl relaxed with PBEsol from Alexandria via LeMat-Bulk. Energies are from meta-GGA SCAN.

Cell lengths 4.528, 4.528, 4.528 Å; angles 60.00, 60.00, 60.00 degrees
Last column: magnetic moment on the atom in μB.
Atoms (fractional coordinates):
Cl (0.000, 0.000, 0.000)  0.03
Sc (0.250, 0.250, 0.250)  0.52
Li (0.500, 0.500, 0.500)  0.04

D(E_F) (states/eV per cell): 2.2
Volume (Å³ per cell): 65.6
VASP energy (eV per cell): -24.6
Calculated density (g/cm³): 2.2

---

Here is a crystal of SbCI3 relaxed with PBEsol from Alexandria via LeMat-Bulk. Energies are from meta-GGA SCAN.

Cell lengths 5.007, 5.007, 5.007 Å; angles 90.00, 90.00, 90.00 degrees
Atoms (fractional coordinates):
Sb (0.500, 0.500, 0.500)
I (0.000, 0.500, 0.000)
C (0.000, 0.000, 0.000)
I (0.500, 0.000, 0.000)
I (0.000, 0.000, 0.500)

D(E_F) (states/eV per cell): 2.6
Volume (Å³ per cell): 125.5
VASP energy (eV per cell): -151.5
Calculated density (g/cm³): 6.8

---

Here is a crystal of Mg3SnAu relaxed with PBEsol from Alexandria via LeMat-Bulk. Energies are from meta-GGA SCAN.

Cell lengths 5.036, 5.036, 5.036 Å; angles 90.00, 90.00, 90.00 degrees
Atoms (fractional coordinates):
Mg (0.000, 0.500, 0.000)
Sn (0.500, 0.500, 0.500)
Au (0.000, 0.000, 0.000)
Mg (0.500, 0.000, 0.000)
Mg (0.000, 0.000, 0.500)

D(E_F) (states/eV per cell): 1.7
Volume (Å³ per cell): 127.7
Energy of formation (kJ/mol of atoms): -22.2
Calculated density (g/cm³): 5.1

---

Here is a crystal of CuIr2Cl relaxed with PBEsol from Alexandria via LeMat-Bulk. Energies are from meta-GGA SCAN.

Cell lengths 4.413, 4.413, 2.810 Å; angles 90.00, 90.00, 90.00 degrees
Atoms (fractional coordinates):
Cu (0.000, 0.000, 0.500)
Ir (0.000, 0.500, 0.000)
Cl (0.500, 0.500, 0.500)
Ir (0.500, 0.000, 0.000)

D(E_F) (states/eV per cell): 4.9
Volume (Å³ per cell): 54.7
VASP energy (eV per cell): -160.8
Calculated density (g/cm³): 14.7

---

Here is a crystal of LaMnRuI2 relaxed with PBEsol from Alexandria via LeMat-Bulk. Energies are from meta-GGA SCAN.

Cell lengths 4.709, 6.252, 6.252 Å; angles 90.00, 90.00, 90.00 degrees
Last column: magnetic moment on the atom in μB.
Atoms (fractional coordinates):
I (0.000, 0.500, 0.000)  0.02
La (0.000, 0.000, 0.000)  -0.01
Mn (0.500, 0.500, 0.500)  4.96
Ru (0.500, 0.000, 0.000)  -1.00
I (0.000, 0.000, 0.500)  0.02

D(E_F) (states/eV per cell): 2.4
Volume (Å³ per cell): 184.1
VASP energy (eV per cell): -167.8
Calculated density (g/cm³): 5.0

---

Here is a crystal of TaBe2Fe relaxed with PBEsol from Alexandria via LeMat-Bulk. Energies are from meta-GGA SCAN.

Cell lengths 3.975, 3.976, 3.975 Å; angles 120.02, 120.00, 90.00 degrees
Last column: magnetic moment on the atom in μB.
Atoms (fractional coordinates):
Be (0.750, 0.250, 0.500)  0.02
Be (0.000, 0.000, 0.000)  -0.05
Fe (0.500, 0.500, 0.000)  1.12
Ta (0.250, 0.750, 0.500)  -0.09

D(E_F) (states/eV per cell): 0.6
Volume (Å³ per cell): 44.4
Energy of formation (kJ/mol of atoms): -6.0
Calculated density (g/cm³): 9.5

---

Here is a crystal of SmGd3 relaxed with PBEsol from Alexandria via LeMat-Bulk. Energies are from meta-GGA SCAN.

Cell lengths 4.962, 4.962, 6.068 Å; angles 114.14, 114.14, 90.00 degrees
Last column: magnetic moment on the atom in μB.
Atoms (fractional coordinates):
Gd (0.250, 0.750, 0.500)  7.40
Sm (0.000, 0.000, 0.000)  -0.02
Gd (0.750, 0.250, 0.500)  7.40
Gd (0.500, 0.500, 0.000)  7.43

D(E_F) (states/eV per cell): 5.4
Volume (Å³ per cell): 121.9
Energy of formation (kJ/mol of atoms): 9.1
Calculated density (g/cm³): 8.5

---

Here is a crystal of CoMo2 relaxed with PBEsol from Alexandria via LeMat-Bulk. Energies are from meta-GGA SCAN.

Cell lengths 2.699, 5.096, 6.388 Å; angles 105.27, 90.00, 105.35 degrees
Atoms (fractional coordinates):
Mo (0.066, 0.132, 0.604)
Co (0.998, 0.997, 0.007)
Co (0.667, 0.333, 0.329)
Mo (0.706, 0.411, 0.960)
Mo (0.393, 0.787, 0.265)
Mo (0.337, 0.674, 0.670)

D(E_F) (states/eV per cell): 5.6
Volume (Å³ per cell): 81.5
Energy of formation (kJ/mol of atoms): 36.7
Calculated density (g/cm³): 10.2

---

Here is a crystal of MnMo2W relaxed with PBEsol from Alexandria via LeMat-Bulk. Energies are from meta-GGA SCAN.

Cell lengths 2.673, 2.673, 8.487 Å; angles 90.00, 90.00, 108.58 degrees
Last column: magnetic moment on the atom in μB.
Atoms (fractional coordinates):
W (0.000, 0.000, 0.486)  -0.20
Mn (0.500, 0.500, 0.249)  2.31
Mo (0.000, 0.000, 0.014)  -0.28
Mo (0.500, 0.500, 0.751)  0.07

D(E_F) (states/eV per cell): 2.6
Volume (Å³ per cell): 57.5
Energy of formation (kJ/mol of atoms): 4.6
Calculated density (g/cm³): 12.4

---

Here is a crystal of DyIn5Co relaxed with PBEsol from Alexandria via LeMat-Bulk. Energies are from meta-GGA SCAN.

Cell lengths 4.489, 4.489, 7.365 Å; angles 90.00, 90.00, 90.00 degrees
Atoms (fractional coordinates):
In (0.500, 0.000, 0.694)
Dy (0.000, 0.000, 0.000)
Co (0.000, 0.000, 0.500)
In (0.500, 0.000, 0.306)
In (0.500, 0.500, 0.000)
In (0.000, 0.500, 0.694)
In (0.000, 0.500, 0.306)

D(E_F) (states/eV per cell): 2.1
Volume (Å³ per cell): 148.4
Energy of formation (kJ/mol of atoms): -28.9
Calculated density (g/cm³): 8.9